## Ca3PuZr3N8 (PBE)

Data for an optimized crystal structure of Ca3PuZr3N8.

Unit cell a=6.651 b=6.651 c=6.859 alpha=119.00 beta=90.00 gamma=120.00
Sites, in units of the cell vectors:
N 0.251 0.026 0.301
N 0.749 0.974 0.699
Zr 0.500 0.500 0.500
Ca 0.500 0.500 0.000
N 0.739 0.479 0.718
Zr 0.500 0.000 0.500
Ca 0.000 0.500 0.000
Ca 0.000 0.000 0.000
N 0.225 0.450 0.699
Zr 0.000 0.500 0.500
N 0.261 0.521 0.282
N 0.775 0.550 0.301
N 0.775 0.026 0.301
Pu 0.000 0.000 0.500
N 0.225 0.974 0.699

Summary:
formation energy (no corrections) = -1.29 eV per atom
M_tot = 2.0 μB per cell

## BeP3 (PBE)

Data for an optimized crystal structure of BeP3.

Unit cell a=2.589 b=2.589 c=9.829 alpha=90.00 beta=90.00 gamma=120.00
Sites, in units of the cell vectors:
P 0.667 0.333 0.187
P 0.000 0.000 0.500
Be 0.000 0.000 0.000
P 0.667 0.333 0.813

Summary:
calculated total energy = -4.393 eV/atom
M_tot = 0.0 μB per cell

## Pb3SF3 (PBE)

Data for an optimized crystal structure of Pb3SF3.

Unit cell a=4.670 b=9.069 c=9.350 alpha=111.85 beta=90.00 gamma=90.00
Sites, in units of the cell vectors:
F 0.250 0.703 0.836
S 0.750 0.355 0.773
S 0.250 0.645 0.227
Pb 0.750 0.613 0.712
Pb 0.250 0.875 0.091
F 0.250 0.067 0.439
F 0.750 0.933 0.561
Pb 0.250 0.387 0.288
Pb 0.750 0.178 0.481
Pb 0.250 0.822 0.519
F 0.750 0.907 0.032
F 0.750 0.297 0.164
F 0.250 0.093 0.968
Pb 0.750 0.125 0.909

Summary:
formation energy (no corrections) = -1.46 eV per atom
M_tot = 0.0 μB per cell

## SnMoRh (PBE)

Data for an optimized crystal structure of SnMoRh.

Unit cell a=3.053 b=3.054 c=12.790 alpha=90.00 beta=90.00 gamma=119.99
Sites, in units of the cell vectors:
Sn 0.278 0.555 0.175
Rh 0.611 0.222 0.340
Mo 0.611 0.222 0.000
Mo 0.278 0.556 0.500
Sn 0.278 0.555 0.825
Rh 0.611 0.222 0.660

Summary:
calculated total energy = -7.289 eV/atom
M_tot = 0.0 μB per cell

## SrTi2TcP (PBE)

Data for an optimized crystal structure of SrTi2TcP.

Unit cell a=4.707 b=5.114 c=4.707 alpha=90.00 beta=90.00 gamma=90.00
Sites, in units of the cell vectors:
Ti 0.000 0.000 0.500
Tc 0.500 0.500 0.500
Sr 0.000 0.000 0.000
Ti 0.500 0.000 0.000
P 0.000 0.500 0.000

Summary:
calculated total energy = -4.423 eV/atom
M_tot = 2.0 μB per cell

## UPa2Fe (PBE)

Data for an optimized crystal structure of UPa2Fe.

Unit cell a=3.032 b=3.032 c=10.284 alpha=81.52 beta=81.52 gamma=60.00
Sites, in units of the cell vectors:
U 0.000 0.000 0.000
Pa 0.095 0.095 0.714
Pa 0.905 0.905 0.286
Fe 0.500 0.500 0.500

Summary:
calculated total energy = -9.377 eV/atom
M_tot = 0.1 μB per cell

## AcSm2Cd6 (PBE)

Data for an optimized crystal structure of AcSm2Cd6.

Unit cell a=3.587 b=8.822 c=8.822 alpha=120.00 beta=90.00 gamma=90.00
Sites, in units of the cell vectors:
Cd 0.500 0.000 0.661
Ac 0.000 0.000 0.000
Cd 0.500 0.339 0.339
Cd 0.500 0.661 0.661
Cd 0.500 0.339 0.000
Sm 0.000 0.667 0.333
Sm 0.000 0.333 0.667
Cd 0.500 0.661 0.000
Cd 0.500 0.000 0.339

Summary:
calculated total energy = -2.435 eV/atom
M_tot = 0.0 μB per cell

## SrBiTe2Ru (PBE)

Data for an optimized crystal structure of SrBiTe2Ru.

Unit cell a=5.542 b=5.098 c=5.542 alpha=90.00 beta=90.00 gamma=90.00
Sites, in units of the cell vectors:
Sr 0.500 0.500 0.500
Te 0.500 0.000 0.000
Te 0.000 0.000 0.500
Ru 0.000 0.000 0.000
Bi 0.000 0.500 0.000

Summary:
formation energy (no corrections) = -0.18 eV per atom
M_tot = 0.1 μB per cell

## Ag2AsIr (PBE)

Data for an optimized crystal structure of Ag2AsIr.

Unit cell a=9.444 b=9.444 c=9.444 alpha=18.01 beta=18.01 gamma=18.01
Sites, in units of the cell vectors:
As 0.488 0.488 0.488
Ir 0.756 0.756 0.756
Ag 0.252 0.252 0.252
Ag 0.005 0.005 0.005

Summary:
calculated total energy = -4.679 eV/atom
M_tot = 0.0 μB per cell

## Th2NpP3Rh4 (PBE)

Data for an optimized crystal structure of Th2NpP3Rh4.

Unit cell a=4.064 b=4.064 c=11.101 alpha=90.00 beta=90.00 gamma=90.00
Sites, in units of the cell vectors:
P 0.500 0.000 0.876
Rh 0.000 0.000 0.000
Th 0.000 0.500 0.774
P 0.000 0.000 0.500
Rh 0.500 0.500 0.000
Th 0.500 0.000 0.226
P 0.000 0.500 0.124
Rh 0.000 0.500 0.336
Np 0.500 0.500 0.500
Rh 0.500 0.000 0.664

Summary:
calculated total energy = -8.301 eV/atom
M_tot = 3.9 μB per cell

## Ag3S (PBE)

Data for an optimized crystal structure of Ag3S.

Unit cell a=4.138 b=4.138 c=4.138 alpha=90.00 beta=90.00 gamma=90.00
Sites, in units of the cell vectors:
Ag 0.500 0.500 0.000
S 0.000 0.000 0.000
Ag 0.000 0.500 0.500
Ag 0.500 0.000 0.500

Summary:
formation energy (no corrections) = 0.12 eV per atom
M_tot = 0.0 μB per cell

## Y4ErHg5 (PBE)

Data for an optimized crystal structure of Y4ErHg5.

Unit cell a=3.719 b=3.719 c=18.625 alpha=90.00 beta=90.00 gamma=90.00
Sites, in units of the cell vectors:
Y 0.000 0.000 0.601
Hg 0.500 0.500 0.903
Y 0.000 0.000 0.399
Hg 0.500 0.500 0.097
Er 0.000 0.000 0.000
Y 0.000 0.000 0.199
Hg 0.500 0.500 0.299
Hg 0.500 0.500 0.500
Y 0.000 0.000 0.801
Hg 0.500 0.500 0.701

Summary:
calculated total energy = -3.698 eV/atom
M_tot = 0.0 μB per cell

## Li7Pd2 (PBE)

Data for an optimized crystal structure of Li7Pd2.

Unit cell a=4.936 b=4.936 c=14.186 alpha=79.98 beta=79.98 gamma=60.00
Sites, in units of the cell vectors:
Li 0.627 0.107 0.639
Li 0.373 0.373 0.361
Li 0.500 0.000 0.000
Li 0.500 0.500 0.000
Li 0.627 0.627 0.639
Li 0.373 0.893 0.361
Pd 0.846 0.846 0.462
Li 0.604 0.604 0.188
Pd 0.086 0.086 0.743
Li 0.000 0.500 0.000
Li 0.107 0.627 0.639
Li 0.396 0.396 0.812
Pd 0.914 0.914 0.257
Li 0.728 0.728 0.817
Li 0.272 0.272 0.183
Li 0.893 0.373 0.361
Pd 0.154 0.154 0.538
Li 0.500 0.500 0.500

Summary:
calculated total energy = -2.672 eV/atom
M_tot = 0.0 μB per cell

## Th5TcSb2 (PBE)

Data for an optimized crystal structure of Th5TcSb2.

Unit cell a=4.590 b=8.226 c=12.469 alpha=90.00 beta=90.00 gamma=90.00
Sites, in units of the cell vectors:
Th 0.500 0.304 0.064
Sb 0.500 0.084 0.825
Th 0.000 0.636 0.204
Th 0.000 0.364 0.796
Th 0.000 0.000 0.000
Tc 0.000 0.500 0.000
Th 0.500 0.804 0.436
Th 0.500 0.696 0.936
Th 0.500 0.196 0.564
Sb 0.500 0.916 0.175
Sb 0.500 0.416 0.325
Tc 0.000 0.000 0.500
Th 0.000 0.500 0.500
Th 0.000 0.864 0.704
Sb 0.500 0.584 0.675
Th 0.000 0.136 0.296

Summary:
formation energy (no corrections) = -0.55 eV per atom
M_tot = 0.0 μB per cell

## Y3PuNi8 (PBE)

Data for an optimized crystal structure of Y3PuNi8.

Unit cell a=5.080 b=5.080 c=8.792 alpha=73.21 beta=73.21 gamma=60.00
Sites, in units of the cell vectors:
Ni 0.937 0.437 0.688
Y 0.376 0.376 0.873
Ni 0.688 0.688 0.937
Ni 0.437 0.437 0.187
Ni 0.188 0.188 0.437
Y 0.998 0.998 0.005
Ni 0.940 0.437 0.187
Pu 0.874 0.874 0.378
Ni 0.937 0.937 0.688
Y 0.502 0.502 0.495
Ni 0.437 0.937 0.688
Ni 0.437 0.940 0.187

Summary:
calculated total energy = -7.030 eV/atom
M_tot = 5.2 μB per cell

## NdGa2Ni4Ge (PBE)

Data for an optimized crystal structure of NdGa2Ni4Ge.

Unit cell a=4.083 b=4.083 c=8.837 alpha=76.64 beta=76.64 gamma=60.00
Sites, in units of the cell vectors:
Ni 0.864 0.864 0.409
Ge 0.500 0.500 0.500
Nd 0.000 0.000 0.000
Ni 0.591 0.591 0.227
Ga 0.245 0.245 0.264
Ga 0.755 0.755 0.736
Ni 0.409 0.409 0.773
Ni 0.136 0.136 0.591

Summary:
calculated total energy = -5.221 eV/atom
M_tot = 0.0 μB per cell

## NaMgF3 (PBE)

Data for an optimized crystal structure of NaMgF3.

Unit cell a=5.333 b=5.333 c=7.419 alpha=90.00 beta=90.00 gamma=146.87
Sites, in units of the cell vectors:
Mg 0.000 0.000 0.500
Mg 0.000 0.000 0.000
F 0.072 0.928 0.750
F 0.374 0.626 0.558
F 0.626 0.374 0.442
F 0.374 0.626 0.942
F 0.928 0.072 0.250
Na 0.257 0.743 0.250
F 0.626 0.374 0.058
Na 0.743 0.257 0.750

Summary:
formation energy (no corrections) = -3.22 eV per atom
M_tot = 0.0 μB per cell

## La2SmScTe4 (PBE)

Data for an optimized crystal structure of La2SmScTe4.

Unit cell a=4.400 b=7.714 c=7.753 alpha=108.93 beta=90.00 gamma=90.00
Sites, in units of the cell vectors:
Te 0.000 0.755 0.233
La 0.500 0.000 0.500
Te 0.000 0.245 0.767
Sc 0.000 0.000 0.000
Te 0.500 0.768 0.774
Te 0.500 0.232 0.226
Sm 0.500 0.500 0.000
La 0.000 0.500 0.500

Summary:
formation energy (no corrections) = -1.40 eV per atom
M_tot = 0.0 μB per cell

## AcSmIrCl (PBE)

Data for an optimized crystal structure of AcSmIrCl.

Unit cell a=4.206 b=4.205 c=8.220 alpha=90.03 beta=104.79 gamma=120.00
Sites, in units of the cell vectors:
Cl 0.951 0.374 0.340
Sm 0.105 0.950 0.071
Ac 0.508 0.151 0.675
Ir 0.314 0.555 0.884

Summary:
formation energy (no corrections) = -1.21 eV per atom
M_tot = 0.0 μB per cell

## SmZrAu4 (PBE)

Data for an optimized crystal structure of SmZrAu4.

Unit cell a=3.697 b=3.697 c=9.076 alpha=90.00 beta=90.00 gamma=90.00
Sites, in units of the cell vectors:
Zr 0.000 0.000 0.000
Au 0.000 0.000 0.678
Sm 0.500 0.500 0.500
Au 0.500 0.500 0.841
Au 0.500 0.500 0.159
Au 0.000 0.000 0.322

Summary:
calculated total energy = -5.068 eV/atom
M_tot = 0.0 μB per cell